Entry 1:
EuBeAu3 (PBE, optimized geometry); symmetry = No. 221; crystal system = cubic; magnetization = 1.40 μB/atom; formation energy = -0.464 eV/atom; ρ = 12.33 g/cm3; calculated total energy = -26.2 eV/f.u.; D(E_F) = 14.3 states/eV/cell
1.0
-1.694 -4.279 0.741
0.979 0.399 4.540
-4.231 1.805 0.754
Au Be Eu
3 1 1
direct
0.000 0.500 0.000 Au
0.000 0.000 0.500 Au
0.500 0.000 0.000 Au
0.000 0.000 0.000 Be
0.500 0.500 0.500 Eu

***

Entry 2:
EuBeAu (PBE, optimized geometry); symmetry = No. 187; crystal system = hexagonal; magnetization = 2.37 μB/atom; formation energy = -0.377 eV/atom; ρ = 9.16 g/cm3; calculated total energy = -18.4 eV/f.u.; D(E_F) = 2.4 states/eV/cell
1.0
4.326 0.000 0.000
0.000 4.161 0.000
0.000 -2.081 3.604
Eu Be Au
1 1 1
direct
0.667 0.333 0.667 Eu
0.167 0.667 0.333 Be
0.167 0.000 0.000 Au

***

Entry 3:
Be3AuF (PBE, optimized geometry); symmetry = No. 221; relative energy among the computed polymorphs = 491.8 meV/atom; crystal system = cubic; magnetization = 0.00 μB/atom; uncorrected formation energy = 135 kJ/mol of formula units; ρ = 4.76 g/cm3; calculated total energy = -14.9 eV/f.u.; D(E_F) = 2.1 states/eV/cell
1.0
4.394 0.000 0.000
0.000 4.394 0.000
0.000 0.000 4.394
Be F Au
3 1 1
direct
0.500 0.000 0.000 Be
0.000 0.000 0.500 Be
0.000 0.500 0.000 Be
0.500 0.500 0.500 F
0.000 0.000 0.000 Au

***

Entry 4:
Be3AuF (PBE, optimized geometry); symmetry = No. 221; relative energy among the computed polymorphs = 0.0 meV/atom; crystal system = cubic; magnetization = 0.00 μB/atom; uncorrected formation energy = -103 kJ/mol of formula units; ρ = 7.76 g/cm3; calculated total energy = -17.4 eV/f.u.; D(E_F) = 0.8 states/eV/cell
1.0
-3.218 1.842 0.426
-1.142 -2.565 2.459
1.506 1.990 2.775
Be Au F
3 1 1
direct
0.500 0.000 0.000 Be
0.000 0.500 0.000 Be
0.000 0.000 0.500 Be
0.500 0.500 0.500 Au
0.000 0.000 0.000 F

***

Entry 5:
Be2GeAuF (PBE, optimized geometry); symmetry = No. 123; crystal system = tetragonal; magnetization = 0.00 μB/atom; uncorrected formation energy = 54 kJ/mol of formula units; ρ = 6.82 g/cm3; calculated total energy = -16.7 eV/f.u.; D(E_F) = 1.5 states/eV/cell
1.0
-0.476 3.614 -0.595
-5.413 -0.752 -0.238
-0.239 0.568 3.641
Be F Au Ge
2 1 1 1
direct
0.500 0.000 0.000 Be
0.000 0.000 0.500 Be
0.000 0.000 0.000 F
0.000 0.500 0.000 Au
0.500 0.500 0.500 Ge

***

Entry 6:
BeH2AuF (PBE, optimized geometry); symmetry = No. 123; crystal system = tetragonal; magnetization = 0.00 μB/atom; ρ = 5.60 g/cm3; calculated total energy = -13.8 eV/f.u.; D(E_F) = 1.1 states/eV/cell
1.0
3.155 0.000 0.000
0.000 6.756 0.000
0.000 0.000 3.155
Be F Au H
1 1 1 2
direct
0.500 0.500 0.500 Be
0.000 0.000 0.000 F
0.000 0.500 0.000 Au
0.500 0.000 0.000 H
0.000 0.000 0.500 H